[1]
A plane-wave DFT calculation with PBE was carried out for a relaxed structure of YAgP.

Output
energy relative to the elements: -616 meV/atom
total magnetization: 0.00 μB/cell

a b c (Å): 4.5248 4.5248 4.5248
angles (deg): 60.00 60.00 60.00
Closest atoms and distances in Å follow each position.
Fractional coordinates of all 3 atoms:
Y (0.0000, 0.0000, 0.0000)  4 P 2.77
Ag (0.5000, 0.5000, 0.5000)  4 P 2.77
P (0.7500, 0.7500, 0.7500)  4 Y 2.77, 4 Ag 2.77

=====

[2]
A plane-wave DFT calculation with PBE was carried out for a relaxed structure of Y3AgP.

Output
energy relative to the elements: -429 meV/atom
total magnetization: 0.40 μB/cell

a b c (Å): 5.2628 5.2628 5.2628
angles (deg): 90.00 90.00 90.00
Closest atoms and distances in Å follow each position.
Fractional coordinates of all 5 atoms:
Y (0.0000, 0.0000, 0.5000)  2 P 2.63
Y (0.0000, 0.5000, 0.0000)  2 P 2.63
Y (0.5000, 0.0000, 0.0000)  2 P 2.63
Ag (0.5000, 0.5000, 0.5000)  12 Y 3.72
P (0.0000, 0.0000, 0.0000)  6 Y 2.63

=====

[3]
A plane-wave DFT calculation with PBE was carried out for a relaxed structure of YAgP.

Output
energy relative to the elements: -690 meV/atom
total magnetization: 0.00 μB/cell

a b c (Å): 4.2373 4.2373 7.7845
angles (deg): 90.00 90.00 120.00
Closest atoms and distances in Å follow each position.
Fractional coordinates of all 6 atoms:
Y (0.0000, 0.0000, 0.0000)  6 Ag 3.13, 6 P 3.13
Y (0.0000, 0.0000, 0.5000)  6 Ag 3.13, 6 P 3.13
Ag (0.3333, 0.6667, 0.2500)  3 P 2.45
Ag (0.6667, 0.3333, 0.7500)  3 P 2.45
P (0.3333, 0.6667, 0.7500)  3 Ag 2.45
P (0.6667, 0.3333, 0.2500)  3 Ag 2.45

=====

> What is the total magnetization in the first record?

0.00 μB/cell

=====

Copy entry 1 word for word.
A plane-wave DFT calculation with PBE was carried out for a relaxed structure of YAgP.

Output
energy relative to the elements: -616 meV/atom
total magnetization: 0.00 μB/cell

a b c (Å): 4.5248 4.5248 4.5248
angles (deg): 60.00 60.00 60.00
Closest atoms and distances in Å follow each position.
Fractional coordinates of all 3 atoms:
Y (0.0000, 0.0000, 0.0000)  4 P 2.77
Ag (0.5000, 0.5000, 0.5000)  4 P 2.77
P (0.7500, 0.7500, 0.7500)  4 Y 2.77, 4 Ag 2.77

=====

> total magnetization of number 1 (YAgP)?

0.00 μB/cell